Computed, not measured: a relaxed structure of NdZn3CuNi at the PBE level of DFT.

**Calculated formation energy**: -0.12 eV per atom
**Symmetry**: Cmcm, No. 63
**V**: 17.47 Å³ per atom

Geometry as POSCAR:
```
NdZn3CuNi
1.0
3.166 -6.198 0.000
3.166 6.198 0.000
0.000 0.000 5.340
Nd Zn Cu Ni
2 6 2 2
direct
0.220 0.780 0.750
0.780 0.220 0.250
0.197 0.197 0.000
0.197 0.197 0.500
0.352 0.648 0.250
0.648 0.352 0.750
0.803 0.803 0.000
0.803 0.803 0.500
0.445 0.555 0.750
0.555 0.445 0.250
0.148 0.852 0.250
0.852 0.148 0.750
```